YZrAs3: optimized geometry, GGA-PBE.

abc: 5.126 5.126 5.126
angles: 90.00 90.00 90.00
Sites, in units of the cell vectors:
Y (0.500, 0.500, 0.500)
As (0.000, 0.500, 0.000)
As (0.000, 0.000, 0.500)
As (0.500, 0.000, 0.000)
Zr (0.000, 0.000, 0.000)

Calculated values
Symmetry: Pm-3m
Volume, Å³ per cell: 134.7
ΔE_f, eV/atom: -0.29
Energy relative to the lowest polymorph listed for this composition, eV per formula unit: 0.00



YZrAs: optimized geometry, GGA-PBE.

abc: 5.832 5.832 3.624
angles: 71.90 71.90 36.21
Sites, in units of the cell vectors:
Y (0.338, 0.338, 0.662)
As (0.023, 0.023, 0.977)
Zr (0.639, 0.639, 0.361)

Calculated values
Symmetry: I4mm
Volume, Å³ per cell: 68.8
ΔE_f, eV/atom: -0.69



Y2ZrAs: optimized geometry, GGA-PBE.

abc: 5.106 5.106 5.106
angles: 60.00 60.00 60.00
Sites, in units of the cell vectors:
Y (0.000, 0.000, 0.000)
Y (0.250, 0.250, 0.250)
As (0.500, 0.500, 0.500)
Zr (0.750, 0.750, 0.750)

Calculated values
Symmetry: F-43m
Volume, Å³ per cell: 94.1
ΔE_f, eV/atom: -0.07



Y2ZrAs: optimized geometry, GGA-PBE.

abc: 9.205 9.205 9.205
angles: 23.47 23.47 23.47
Sites, in units of the cell vectors:
Y (0.016, 0.016, 0.016)
Y (0.484, 0.484, 0.484)
As (0.750, 0.750, 0.750)
Zr (0.250, 0.250, 0.250)

Calculated values
Symmetry: R-3m
Volume, Å³ per cell: 108.6
ΔE_f, eV/atom: -0.44



Y2ZrAs3: optimized geometry, GGA-PBE.

abc: 8.995 8.995 8.995
angles: 154.07 154.07 36.99
Sites, in units of the cell vectors:
Y (0.667, 0.667, 0.000)
Y (0.333, 0.333, 0.000)
Zr (0.000, 0.000, 0.000)
As (0.500, 0.500, 0.000)
As (0.838, 0.838, 0.000)
As (0.162, 0.162, 0.000)

Calculated values
Symmetry: I4/mmm
Volume, Å³ per cell: 138.9
ΔE_f, eV/atom: -1.38



Y3ZrAs: optimized geometry, GGA-PBE.

abc: 5.416 5.416 5.416
angles: 90.00 90.00 90.00
Sites, in units of the cell vectors:
Y (0.000, 0.500, 0.000)
Y (0.000, 0.000, 0.500)
Y (0.500, 0.000, 0.000)
As (0.000, 0.000, 0.000)
Zr (0.500, 0.500, 0.500)

Calculated values
Symmetry: Pm-3m
Volume, Å³ per cell: 158.9
ΔE_f, eV/atom: -0.11
Energy relative to the lowest polymorph listed for this composition, eV per formula unit: 0.00



Size of the total moment, respectively: 0.00 0.00 0.95 0.37 0.00 3.58 μB/f.u..